An optimized crystal structure of CePrCu4, computed with PBE-GGA.

Computed properties:
ΔE to the lowest computed polymorph = 0.080 eV/atom
space group = F-43m, No. 216
DOS at the Fermi energy = 1.416 states/eV per atom
calculated total energy = -4.570 eV/atom
DFT formation energy = -54 meV/atom

a b c (Å): 5.3378 5.3378 5.3378
angles (deg): 60.00 60.00 60.00
Last column: magnetic moment on the atom in μB.
Fractional coordinates of all 6 atoms:
1 Cu 0.6249 0.1252 0.6249  0.01
2 Cu 0.6249 0.6249 0.6249  0.01
3 Cu 0.1252 0.6249 0.6249  0.01
4 Cu 0.6249 0.6249 0.1252  0.01
5 Pr 0.0000 0.0000 0.0000  0.09
6 Ce 0.2500 0.2500 0.2500  0.63